Here is a relaxed CaNdZrCrO6 crystal from the Alexandria database. Energies are from PBE with a Hubbard U.

Calculated values
density of states at the Fermi level: 0.0 states/eV/cell
energy: -8.06 eV/atom
magnetic moment: 3.00 μB per formula unit

a = 5.6807 Å, b = 5.6807 Å, c = 5.6807 Å
α = 60.00°, β = 60.00°, γ = 60.00°
Closest atoms and distances in Å follow each position.
Sites, in units of the cell vectors:
Ca  0.7500  0.7500  0.7500  12 O 2.84
Nd  0.2500  0.2500  0.2500  12 O 2.84
Zr  0.5000  0.5000  0.5000  6 O 2.06
Cr  0.0000  0.0000  0.0000  6 O 1.96
O  0.2436  0.7564  0.2436  1 Cr 1.96, 1 Zr 2.06
O  0.7564  0.2436  0.7564  1 Cr 1.96, 1 Zr 2.06
O  0.2436  0.7564  0.7564  1 Cr 1.96, 1 Zr 2.06
O  0.7564  0.2436  0.2436  1 Cr 1.96, 1 Zr 2.06
O  0.2436  0.2436  0.7564  1 Cr 1.96, 1 Zr 2.06
O  0.7564  0.7564  0.2436  1 Cr 1.96, 1 Zr 2.06